1.
Computed, not measured: a relaxed Be3Co crystal at the PBE level of DFT.

Computed properties:
As for the density of states at the Fermi level: 0.6129 states/eV/atom. The value obtained for the total energy is -54.24 eV/cell.

Unit cell a=2.3648 b=2.3648 c=22.1674 alpha=90.00 beta=90.00 gamma=120.00
Last column: nearest neighbours and their distance in Å.
Space group R-3m (No. 166, hexagonal axes)
Symmetry-distinct sites (fractional):
Be 0.0000 0.0000 0.0000 (multiplicity 3)  12 Be 2.31-2.36
Be 0.0000 0.0000 0.2495 (multiplicity 6)  3 Co 2.29, 9 Be 2.31-2.36
Co 0.0000 0.0000 0.5000 (multiplicity 3)  6 Be 2.29, 6 Co 2.36

2.
Computed, not measured: a relaxed LiPr2Ge3Pt4 crystal at the PBE level of DFT.

Computed properties:
As for the density of states at the Fermi level: 0.5441 states/eV/atom. The value obtained for the total energy is -58.81 eV/cell.

Unit cell a=4.3325 b=4.3325 c=10.2233 alpha=90.00 beta=90.00 gamma=90.00
Last column: nearest neighbours and their distance in Å.
Space group P-4m2 (No. 115)
Symmetry-distinct sites (fractional):
Li 0.0000 0.0000 0.0000 (multiplicity 1)  4 Pt 2.52
Pr 0.0000 0.5000 0.7535 (multiplicity 2)  8 Pt 3.30-3.38, 6 Ge 3.30-3.32, 2 Li 3.32
Ge 0.0000 0.5000 0.3668 (multiplicity 2)  5 Pt 2.45-2.56
Ge 0.5000 0.5000 0.0000 (multiplicity 1)  4 Pt 2.52
Pt 0.0000 0.0000 0.5000 (multiplicity 1)  4 Ge 2.56
Pt 0.0000 0.5000 0.1267 (multiplicity 2)  3 Ge 2.45-2.52, 2 Li 2.52
Pt 0.5000 0.5000 0.5000 (multiplicity 1)  4 Ge 2.56